An optimized crystal structure of Y2HPdPb. Source: the Alexandria database, functional PBE.

Output
The calculation puts the energy above the most stable polymorph in this dataset at 0.000 eV per atom. The volume is 20.1 Å³ per atom. Its size of the total moment is 0.40 μB per formula unit. Its crystal system is tetragonal.

a = 5.0272 Å, b = 5.0272 Å, c = 3.9815 Å
α = 90.00°, β = 90.00°, γ = 90.00°
Last column: magnetic moment on the atom in μB.
Fractional positions:
Pb (0.5000, 0.5000, 0.5000)  -0.01
Y (0.0000, 0.5000, 0.0000)  0.11
Y (0.5000, 0.0000, 0.0000)  0.11
Pd (0.0000, 0.0000, 0.5000)  0.02
H (0.0000, 0.0000, 0.0000)  0.00